#P
PmTi4Se8 | PBE | optimized geometry

Calculated values
- DOS at the Fermi energy (states/eV per cell) = 26.2
- calculated density (g cm⁻³) = 5.11

Structure (CIF):
```
data_PmTi4Se8
_chemical_formula_sum 'Pm3 Ti12 Se24'
_symmetry_space_group_name_H-M 'R -3 m'
_symmetry_Int_Tables_number 166
_symmetry_space_group_name_Hall '-R 3 2"'
_cell_length_a 7.2593
_cell_length_b 7.2593
_cell_length_c 20.6750
_cell_angle_alpha 90.00
_cell_angle_beta 90.00
_cell_angle_gamma 120.00
loop_
_atom_site_label
_atom_site_type_symbol
_atom_site_fract_x
_atom_site_fract_y
_atom_site_fract_z
_atom_site_occupancy
Pm1 Pm 0.0000 0.0000 0.0000 1
Ti1 Ti 0.0000 0.0000 0.5000 1
Ti2 Ti 0.0000 0.5000 0.5000 1
Se1 Se 0.0000 0.0000 0.2390 1
Se2 Se 0.0095 0.5048 0.2414 1
```

=====

#Q
PmTi4Se8 | PBE | optimized geometry

Calculated values
- DOS at the Fermi energy (states/eV per cell) = 22.0
- calculated density (g cm⁻³) = 4.94

Structure (CIF):
```
data_PmTi4Se8
_chemical_formula_sum 'Pm4 Ti16 Se32'
_symmetry_space_group_name_H-M 'F -4 3 m'
_symmetry_Int_Tables_number 216
_symmetry_space_group_name_Hall 'F -4 2 3'
_cell_length_a 10.922
_cell_length_b 10.922
_cell_length_c 10.922
_cell_angle_alpha 90.00
_cell_angle_beta 90.00
_cell_angle_gamma 90.00
loop_
_atom_site_label
_atom_site_type_symbol
_atom_site_fract_x
_atom_site_fract_y
_atom_site_fract_z
_atom_site_occupancy
Pm1 Pm 0.000 0.000 0.000 1
Ti1 Ti 0.110 0.110 0.610 1
Se1 Se 0.123 0.123 0.377 1
Se2 Se 0.145 0.145 0.855 1
```

=====

Most stable: #P (next structure +111 meV per atom)

=====

#P
PmTlSe2 | PBE | optimized geometry

Calculated values
- calculated density (g cm⁻³) = 6.80

Structure (CIF):
```
data_PmTlSe2
_chemical_formula_sum 'Pm3 Tl3 Se6'
_symmetry_space_group_name_H-M 'R -3 m'
_symmetry_Int_Tables_number 166
_symmetry_space_group_name_Hall '-R 3 2"'
_cell_length_a 4.2960
_cell_length_b 4.2960
_cell_length_c 23.2678
_cell_angle_alpha 90.00
_cell_angle_beta 90.00
_cell_angle_gamma 120.00
loop_
_atom_site_label
_atom_site_type_symbol
_atom_site_fract_x
_atom_site_fract_y
_atom_site_fract_z
_atom_site_occupancy
Pm1 Pm 0.0000 0.0000 0.0000 1
Tl1 Tl 0.0000 0.0000 0.5000 1
Se1 Se 0.0000 0.0000 0.2635 1
```

=====

#Q
PmTlSe2 | PBE | optimized geometry

Calculated values
- calculated density (g cm⁻³) = 6.73

Structure (CIF):
```
data_PmTlSe2
_chemical_formula_sum 'Pm3 Tl3 Se6'
_symmetry_space_group_name_H-M 'R 3 m'
_symmetry_Int_Tables_number 160
_symmetry_space_group_name_Hall 'R 3 -2"'
_cell_length_a 4.2802
_cell_length_b 4.2802
_cell_length_c 23.6733
_cell_angle_alpha 90.00
_cell_angle_beta 90.00
_cell_angle_gamma 120.00
loop_
_atom_site_label
_atom_site_type_symbol
_atom_site_fract_x
_atom_site_fract_y
_atom_site_fract_z
_atom_site_occupancy
Pm1 Pm 0.0000 0.0000 0.0000 1
Tl1 Tl 0.0000 0.0000 0.1702 1
Se1 Se 0.0000 0.0000 0.4017 1
Se2 Se 0.0000 0.0000 0.5968 1
```

=====

Most stable: #P (next structure +22 meV per atom)